DFT (GGA-PBE) results for a relaxed structure of DyYTh2Bi5.

It has space group P4/mmm (No. 123), with a = 5.418 Å, b = 5.418 Å, c = 11.722 Å, α = 90.00°, β = 90.00° and γ = 90.00°. The distinct sites, in fractional coordinates, are Dy at (0.000, 0.000, 0.000), Y at (0.000, 0.000, 0.500), Th at (0.500, 0.500, 0.202), Bi at (0.000, 0.000, 0.253), Bi at (0.000, 0.500, 0.000) and Bi at (0.500, 0.500, 0.500).

The value obtained for the volume is 38.237 Å³ per atom. The calculation puts the formation energy at 0.035 eV/atom.

***

DFT (GGA-PBE) results for a relaxed structure of DyY2ThBi5.

It has space group P4/mmm (No. 123), with a = 5.727 Å, b = 5.727 Å, c = 11.923 Å, α = 90.00°, β = 90.00° and γ = 90.00°. The distinct sites, in fractional coordinates, are Dy at (0.000, 0.000, 0.000), Y at (0.500, 0.500, 0.268), Th at (0.000, 0.000, 0.500), Bi at (0.000, 0.000, 0.242), Bi at (0.000, 0.500, 0.500) and Bi at (0.500, 0.500, 0.000).

The value obtained for the volume is 43.451 Å³ per atom. The calculation puts the formation energy at 0.196 eV/atom.

***

DFT (GGA-PBE) results for a relaxed structure of Dy2Y3ThBi6.

It has space group C2/m (No. 12), with a = 7.802 Å, b = 13.503 Å, c = 7.797 Å, α = 90.00°, β = 109.52° and γ = 90.00°. The distinct sites, in fractional coordinates, are Dy at (0.000, 0.167, 0.000), Y at (0.000, 0.000, 0.500), Y at (0.000, 0.335, 0.500), Th at (0.000, 0.500, 0.000), Bi at (0.245, 0.000, 0.250) and Bi at (0.247, 0.169, 0.747).

The value obtained for the volume is 32.255 Å³ per atom. The calculation puts the formation energy at -0.837 eV/atom.